No. 1
Material: La2AlRh
Method: DFT, GGA-PBE
State: optimized geometry

The structure in CIF format:
```
data_La2AlRh
_chemical_formula_sum 'La4 Al2 Rh2'
_space_group_name_H-M_alt 'I m m m'
_space_group_IT_number 71
_space_group_name_Hall '-I 2 2'
_cell_length_a 4.3414
_cell_length_b 5.3737
_cell_length_c 8.7214
_cell_angle_alpha 90.00
_cell_angle_beta 90.00
_cell_angle_gamma 90.00
loop_
_atom_site_label
_atom_site_fract_x
_atom_site_fract_y
_atom_site_fract_z
La1 0.0000 0.0000 0.2135
Al1 0.0000 0.5000 0.0000
Rh1 0.0000 0.5000 0.5000
```

Output
ΔE_f, kcal/mol of atoms: -10.06

No. 2
Material: PuMg4Ga4
Method: DFT, GGA-PBE
State: optimized geometry

The structure in CIF format:
```
data_PuMg4Ga4
_chemical_formula_sum 'Pu2 Mg8 Ga8'
_space_group_name_H-M_alt 'P 42/n m c'
_space_group_IT_number 137
_cell_length_a 6.5720
_cell_length_b 6.5720
_cell_length_c 9.0916
_cell_angle_alpha 90.00
_cell_angle_beta 90.00
_cell_angle_gamma 90.00
loop_
_space_group_symop_operation_xyz
'x,y,z'
'-x,-y,-z'
'-y+1/2,x,z+1/2'
'y+1/2,-x,-z+1/2'
'-x+1/2,-y+1/2,z'
'x+1/2,y+1/2,-z'
'y,-x+1/2,z+1/2'
'-y,x+1/2,-z+1/2'
'x+1/2,-y,-z'
'-x+1/2,y,z'
'-y,-x,-z+1/2'
'y,x,z+1/2'
'-x,y+1/2,-z'
'x,-y+1/2,z'
'y+1/2,x+1/2,-z+1/2'
'-y+1/2,-x+1/2,z+1/2'
loop_
_atom_site_label
_atom_site_fract_x
_atom_site_fract_y
_atom_site_fract_z
Pu1 0.2500 0.7500 0.2500
Mg1 0.0127 0.2500 0.1499
Ga1 0.0479 0.2500 0.4503
```

Output
ΔE_f, kcal/mol of atoms: -1.45

No. 3
Material: Si2AgW
Method: DFT, GGA-PBE
State: optimized geometry

The structure in CIF format:
```
data_Si2AgW
_chemical_formula_sum 'Si2 Ag1 W1'
_space_group_name_H-M_alt 'P m m m'
_space_group_IT_number 47
_space_group_name_Hall '-P 2 2'
_cell_length_a 2.7472
_cell_length_b 3.9683
_cell_length_c 5.6994
_cell_angle_alpha 90.00
_cell_angle_beta 90.00
_cell_angle_gamma 90.00
loop_
_atom_site_label
_atom_site_fract_x
_atom_site_fract_y
_atom_site_fract_z
Si1 0.0000 0.0000 0.2161
Ag1 0.0000 0.5000 0.5000
W1 0.5000 0.5000 0.0000
```

Output
Energy above the lowest structure with this stoichiometry, eV/atom: 0.094

No. 4
Material: Al6Ir7
Method: DFT, GGA-PBE
State: optimized geometry

The structure in CIF format:
```
data_Al6Ir7
_chemical_formula_sum 'Al18 Ir21'
_space_group_name_H-M_alt 'R -3 m'
_space_group_IT_number 166
_space_group_name_Hall '-R 3 2"'
_cell_length_a 5.3324
_cell_length_b 5.3324
_cell_length_c 25.0938
_cell_angle_alpha 90.00
_cell_angle_beta 90.00
_cell_angle_gamma 120.00
loop_
_atom_site_label
_atom_site_fract_x
_atom_site_fract_y
_atom_site_fract_z
Al1 0.0000 0.0000 0.0525
Al2 0.0000 0.0000 0.1615
Al3 0.0000 0.0000 0.3360
Ir1 0.0000 0.0000 0.5000
Ir2 0.0061 0.5030 0.9161
```

Output
ΔE_f, kcal/mol of atoms: -6.94

No. 5
Material: CaHgPd3
Method: DFT, GGA-PBE
State: optimized geometry

The structure in CIF format:
```
data_CaHgPd3
_chemical_formula_sum 'Ca1 Hg1 Pd3'
_space_group_name_H-M_alt 'P m -3 m'
_space_group_IT_number 221
_space_group_name_Hall '-P 4 2 3'
_cell_length_a 4.9357
_cell_length_b 4.9357
_cell_length_c 4.9357
_cell_angle_alpha 90.00
_cell_angle_beta 90.00
_cell_angle_gamma 90.00
loop_
_atom_site_label
_atom_site_fract_x
_atom_site_fract_y
_atom_site_fract_z
Ca1 0.0000 0.0000 0.0000
Hg1 0.5000 0.5000 0.5000
Pd1 0.0000 0.0000 0.5000
```

Output
ΔE_f, kcal/mol of atoms: 13.73
Energy above the lowest structure with this stoichiometry, eV/atom: 1.019

No. 6
Material: Pu2Ga4CuIr3
Method: DFT, GGA-PBE
State: optimized geometry

The structure in CIF format:
```
data_Pu2Ga4CuIr3
_chemical_formula_sum 'Pu2 Ga4 Cu1 Ir3'
_space_group_name_H-M_alt 'P -4 m 2'
_space_group_IT_number 115
_space_group_name_Hall 'P -4 -2'
_cell_length_a 4.0460
_cell_length_b 4.0460
_cell_length_c 11.1383
_cell_angle_alpha 90.00
_cell_angle_beta 90.00
_cell_angle_gamma 90.00
loop_
_atom_site_label
_atom_site_fract_x
_atom_site_fract_y
_atom_site_fract_z
Pu1 0.0000 0.5000 0.2413
Ga1 0.0000 0.0000 0.0000
Ga2 0.0000 0.5000 0.6300
Ga3 0.5000 0.5000 0.0000
Cu1 0.0000 0.0000 0.5000
Ir1 0.0000 0.5000 0.8553
Ir2 0.5000 0.5000 0.5000
```

Output
ΔE_f, kcal/mol of atoms: -10.31

No. 7
Material: La4TeAsBr2
Method: DFT, GGA-PBE
State: optimized geometry

The structure in CIF format:
```
data_La4TeAsBr2
_chemical_formula_sum 'La4 Te1 As1 Br2'
_space_group_name_H-M_alt 'P 1 2/m 1'
_space_group_IT_number 10
_space_group_name_Hall '-P 2y'
_cell_length_a 7.5034
_cell_length_b 4.4189
_cell_length_c 7.8408
_cell_angle_alpha 90.00
_cell_angle_beta 109.47
_cell_angle_gamma 90.00
loop_
_atom_site_label
_atom_site_fract_x
_atom_site_fract_y
_atom_site_fract_z
La1 0.2314 0.0000 0.2225
La2 0.2461 0.5000 0.7716
Te1 0.0000 0.0000 0.5000
As1 0.0000 0.5000 0.0000
Br1 0.5000 0.0000 0.0000
Br2 0.5000 0.5000 0.5000
```

Output
E_tot, eV per atom: -5.34

No. 8
Material: ZrHgSe
Method: DFT, GGA-PBE
State: optimized geometry

The structure in CIF format:
```
data_ZrHgSe
_chemical_formula_sum 'Zr2 Hg2 Se2'
_space_group_name_H-M_alt 'P 4/n m m'
_space_group_IT_number 129
_cell_length_a 3.9175
_cell_length_b 3.9175
_cell_length_c 8.5672
_cell_angle_alpha 90.00
_cell_angle_beta 90.00
_cell_angle_gamma 90.00
loop_
_space_group_symop_operation_xyz
'x,y,z'
'-x,-y,-z'
'-y+1/2,x,z'
'y+1/2,-x,-z'
'-x+1/2,-y+1/2,z'
'x+1/2,y+1/2,-z'
'y,-x+1/2,z'
'-y,x+1/2,-z'
'x+1/2,-y,-z'
'-x+1/2,y,z'
'-y,-x,-z'
'y,x,z'
'-x,y+1/2,-z'
'x,-y+1/2,z'
'y+1/2,x+1/2,-z'
'-y+1/2,-x+1/2,z'
loop_
_atom_site_label
_atom_site_fract_x
_atom_site_fract_y
_atom_site_fract_z
Zr1 0.2500 0.2500 0.2044
Hg1 0.2500 0.7500 0.5000
Se1 0.2500 0.2500 0.8768
```

Output
Energy above the lowest structure with this stoichiometry, eV/atom: 0.000

No. 9
Material: Ta2SiAg
Method: DFT, GGA-PBE
State: optimized geometry

The structure in CIF format:
```
data_Ta2SiAg
_chemical_formula_sum 'Ta2 Si1 Ag1'
_space_group_name_H-M_alt 'P 4/m m m'
_space_group_IT_number 123
_space_group_name_Hall '-P 4 2'
_cell_length_a 3.3218
_cell_length_b 3.3218
_cell_length_c 6.1558
_cell_angle_alpha 90.00
_cell_angle_beta 90.00
_cell_angle_gamma 90.00
loop_
_atom_site_label
_atom_site_fract_x
_atom_site_fract_y
_atom_site_fract_z
Ta1 0.0000 0.0000 0.2198
Si1 0.5000 0.5000 0.0000
Ag1 0.5000 0.5000 0.5000
```

Output
E_tot, eV per atom: -7.86

No. 10
Material: LaPm6Nd4
Method: DFT, GGA-PBE
State: optimized geometry

The structure in CIF format:
```
data_LaPm6Nd4
_chemical_formula_sum 'La2 Pm12 Nd8'
_space_group_name_H-M_alt 'I -4 2 m'
_space_group_IT_number 121
_space_group_name_Hall 'I -4 2'
_cell_length_a 6.6853
_cell_length_b 6.6853
_cell_length_c 17.7299
_cell_angle_alpha 90.00
_cell_angle_beta 90.00
_cell_angle_gamma 90.00
loop_
_atom_site_label
_atom_site_fract_x
_atom_site_fract_y
_atom_site_fract_z
La1 0.0000 0.0000 0.0000
Pm1 0.0000 0.5000 0.0000
Pm2 0.1799 0.1799 0.3725
Nd1 0.1905 0.1905 0.1808
```

Output
ΔE_f, kcal/mol of atoms: 6.60
Energy above the lowest structure with this stoichiometry, eV/atom: 0.143

No. 11
Material: Ce12PuPb6
Method: DFT, GGA-PBE
State: optimized geometry

The structure in CIF format:
```
data_Ce12PuPb6
_chemical_formula_sum 'Ce36 Pu3 Pb18'
_space_group_name_H-M_alt 'R -3'
_space_group_IT_number 148
_space_group_name_Hall '-R 3'
_cell_length_a 14.7622
_cell_length_b 14.7622
_cell_length_c 8.9660
_cell_angle_alpha 90.00
_cell_angle_beta 90.00
_cell_angle_gamma 120.00
loop_
_atom_site_label
_atom_site_fract_x
_atom_site_fract_y
_atom_site_fract_z
Ce1 0.0151 0.7731 0.4027
Ce2 0.0158 0.2442 0.9042
Pu1 0.0000 0.0000 0.0000
Pb1 0.0000 0.1637 0.2520
```

Output
ΔE_f, kcal/mol of atoms: -5.59
Energy above the lowest structure with this stoichiometry, eV/atom: 0.000

The Fermi-level density of states results, record by record, are as follows: 2.1, 18.1, 2.2, 10.5, 2.5, 26.1, 5.6, 2.0, 2.2, 18.0, 46.6 states/eV/f.u..